# 1
{
  "formula": "LaHf2Ir2",
  "functional": "PBEsol",
  "state": "relaxed",
  "lattice_angstrom": [[4.464, 0.000, 0.000], [0.000, 4.464, 0.000], [-2.232, -2.232, 5.459]],
  "species": ["Ir", "Ir", "Hf", "Hf", "La"],
  "frac_coords": [[0.380, 0.380, 0.760], [0.620, 0.620, 0.240], [0.250, 0.750, 0.500], [0.750, 0.250, 0.500], [0.000, 0.000, 0.000]],
  "total_magnetization_mub_per_cell": 0.0,
  "e_form_ev_per_atom": -0.799
}

# 2
{
  "formula": "AgTeI2F",
  "functional": "PBEsol",
  "state": "relaxed",
  "lattice_angstrom": [[-0.545, 3.716, 1.813], [-3.765, -2.352, 3.691], [4.311, -1.155, 3.662]],
  "species": ["I", "I", "Te", "Ag", "F"],
  "frac_coords": [[0.000, 0.000, 0.500], [0.000, 0.500, 0.000], [0.500, 0.000, 0.000], [0.500, 0.500, 0.500], [0.000, 0.000, 0.000]],
  "formation_energy_uncorrected_ev_per_atom": 0.0263,
  "total_magnetization_mub_per_cell": 0.0
}

# 3
{
  "formula": "Ba2ZnB6O12",
  "functional": "PBEsol",
  "state": "relaxed",
  "lattice_angstrom": [[7.156, -0.002, 0.031], [-3.570, 6.248, -0.018], [-0.880, -2.009, 11.582]],
  "species": ["Ba", "Ba", "Ba", "Ba", "Zn", "Zn", "B", "B", "B", "B", "B", "B", "B", "B", "B", "B", "B", "B", "O", "O", "O", "O", "O", "O", "O", "O", "O", "O", "O", "O", "O", "O", "O", "O", "O", "O", "O", "O", "O", "O", "O", "O"],
  "frac_coords": [[0.345, 0.682, 0.053], [0.264, 0.581, 0.710], [0.655, 0.318, 0.947], [0.736, 0.419, 0.290], [0.894, 0.863, 0.587], [0.106, 0.137, 0.413], [0.752, 0.431, 0.626], [0.250, 0.080, 0.124], [0.378, 0.952, 0.368], [0.366, 0.178, 0.618], [0.622, 0.048, 0.632], [0.248, 0.569, 0.374], [0.994, 0.216, 0.129], [0.140, 0.174, 0.872], [0.860, 0.826, 0.128], [0.750, 0.920, 0.876], [0.006, 0.784, 0.871], [0.634, 0.822, 0.382], [0.162, 0.142, 0.594], [0.410, 0.013, 0.631], [0.209, 0.739, 0.363], [0.461, 0.610, 0.372], [0.448, 0.110, 0.119], [0.791, 0.261, 0.637], [0.040, 0.619, 0.875], [0.827, 0.005, 0.134], [0.590, 0.987, 0.369], [0.552, 0.890, 0.881], [0.838, 0.858, 0.406], [0.173, 0.995, 0.866], [0.692, 0.627, 0.127], [0.918, 0.621, 0.611], [0.205, 0.249, 0.127], [0.073, 0.869, 0.124], [0.308, 0.373, 0.873], [0.354, 0.125, 0.373], [0.927, 0.131, 0.876], [0.082, 0.379, 0.389], [0.960, 0.381, 0.125], [0.539, 0.390, 0.628], [0.795, 0.751, 0.873], [0.646, 0.875, 0.627]],
  "formation_energy_uncorrected_ev_per_atom": -2.5220,
  "total_magnetization_mub_per_cell": 0.0
}

# 4
{
  "formula": "LiSc2InSn",
  "functional": "PBEsol",
  "state": "relaxed",
  "lattice_angstrom": [[4.628, 0.000, 0.000], [0.000, 4.853, 0.000], [0.000, 0.000, 4.853]],
  "species": ["Sc", "Sc", "Li", "Sn", "In"],
  "frac_coords": [[0.000, 0.000, 0.500], [0.000, 0.500, 0.000], [0.000, 0.000, 0.000], [0.500, 0.500, 0.500], [0.500, 0.000, 0.000]],
  "total_magnetization_mub_per_cell": 0.7,
  "e_form_ev_per_atom": 0.087
}

# 5
{
  "formula": "ZnAs2Ru",
  "functional": "PBEsol",
  "state": "relaxed",
  "lattice_angstrom": [[2.909, 0.000, 0.000], [1.454, 2.519, 0.000], [1.454, 0.840, 8.866]],
  "species": ["As", "As", "Ru", "Zn"],
  "frac_coords": [[0.993, 0.993, 0.020], [0.765, 0.765, 0.705], [0.499, 0.499, 0.503], [0.242, 0.242, 0.273]],
  "total_magnetization_mub_per_cell": 0.0,
  "e_form_ev_per_atom": 0.093
}

# 6
{
  "formula": "Tl3Cd",
  "functional": "PBEsol",
  "state": "relaxed",
  "lattice_angstrom": [[-2.682, -1.070, -1.633], [-1.836, -0.908, 5.854], [0.237, 5.870, -1.988]],
  "species": ["Tl", "Tl", "Tl", "Cd"],
  "frac_coords": [[0.500, 0.000, 0.500], [0.500, 0.500, 0.000], [0.000, 0.500, 0.500], [0.000, 0.000, 0.000]],
  "total_magnetization_mub_per_cell": 0.0,
  "e_form_ev_per_atom": 0.058
}

# 7
{
  "formula": "LiCd2Sb",
  "functional": "PBEsol",
  "state": "relaxed",
  "lattice_angstrom": [[-3.420, 0.669, 0.418], [-1.156, -4.735, -1.878], [0.655, 0.118, 5.181]],
  "species": ["Cd", "Cd", "Li", "Sb"],
  "frac_coords": [[0.000, 0.500, 0.000], [0.000, 0.000, 0.500], [0.500, 0.000, 0.000], [0.500, 0.500, 0.500]],
  "formation_energy_uncorrected_ev_per_atom": -0.0933,
  "total_magnetization_mub_per_cell": 0.0
}

# 8
{
  "formula": "InAs2P",
  "functional": "PBEsol",
  "state": "relaxed",
  "lattice_angstrom": [[-1.290, -2.601, 3.736], [2.650, -3.680, 1.350], [2.493, 0.227, 4.015]],
  "species": ["As", "As", "In", "P"],
  "frac_coords": [[0.250, 0.250, 0.250], [0.750, 0.750, 0.750], [0.000, 0.000, 0.000], [0.500, 0.500, 0.500]],
  "total_magnetization_mub_per_cell": 0.0,
  "e_form_ev_per_atom": 0.411
}

# 9
{
  "formula": "CdCu2Pt",
  "functional": "PBEsol",
  "state": "relaxed",
  "lattice_angstrom": [[-2.364, 2.246, 1.988], [-0.840, -2.926, 2.307], [4.538, 1.350, 0.203]],
  "species": ["Pt", "Cu", "Cu", "Cd"],
  "frac_coords": [[0.500, 0.500, 0.000], [0.000, 0.000, 0.000], [0.750, 0.250, 0.500], [0.250, 0.750, 0.500]],
  "total_magnetization_mub_per_cell": 0.0,
  "e_form_ev_per_atom": -0.110
}

# 10
{
  "formula": "TcSbOs",
  "functional": "PBEsol",
  "state": "relaxed",
  "lattice_angstrom": [[2.948, 0.000, 0.000], [0.000, 2.948, 0.000], [-1.474, -1.474, 5.655]],
  "species": ["Os", "Sb", "Tc"],
  "frac_coords": [[0.984, 0.984, 0.969], [0.668, 0.668, 0.336], [0.348, 0.348, 0.695]],
  "formation_energy_uncorrected_ev_per_atom": 0.3283,
  "total_magnetization_mub_per_cell": 0.0
}

# 11
{
  "formula": "CuAsPt2",
  "functional": "PBEsol",
  "state": "relaxed",
  "lattice_angstrom": [[2.894, 0.052, 0.067], [-0.081, 4.552, 0.002], [-0.081, -1.152, 4.403]],
  "species": ["As", "Cu", "Pt", "Pt"],
  "frac_coords": [[0.500, 0.500, 0.500], [0.500, 0.000, 0.000], [0.000, 0.000, 0.500], [0.000, 0.500, 0.000]],
  "total_magnetization_mub_per_cell": 0.0,
  "e_form_ev_per_atom": -0.063
}

# 12
{
  "formula": "FeTcPb2",
  "functional": "PBEsol",
  "state": "relaxed",
  "lattice_angstrom": [[-1.601, -3.550, 0.729], [3.548, -1.698, -0.478], [-0.097, 3.168, 4.448]],
  "species": ["Fe", "Pb", "Pb", "Tc"],
  "frac_coords": [[0.250, 0.750, 0.500], [0.000, 0.000, 0.000], [0.750, 0.250, 0.500], [0.500, 0.500, 0.000]],
  "total_magnetization_mub_per_cell": 2.9,
  "e_form_ev_per_atom": 0.815
}

# 13
{
  "formula": "Al2GaSi2",
  "functional": "PBEsol",
  "state": "relaxed",
  "lattice_angstrom": [[-0.389, -2.313, -1.547], [7.444, -1.517, 0.394], [-1.160, -4.045, 6.338]],
  "species": ["Si", "Si", "Si", "Si", "Al", "Al", "Al", "Al", "Ga", "Ga"],
  "frac_coords": [[0.000, 0.345, 0.845], [0.000, 0.845, 0.655], [0.000, 0.655, 0.155], [0.000, 0.155, 0.345], [0.500, 0.142, 0.642], [0.500, 0.642, 0.858], [0.500, 0.858, 0.358], [0.500, 0.358, 0.142], [0.000, 0.000, 0.000], [0.000, 0.500, 0.500]],
  "formation_energy_uncorrected_ev_per_atom": 0.1301,
  "total_magnetization_mub_per_cell": 0.0
}

# 14
{
  "formula": "Be2FePdPb",
  "functional": "PBEsol",
  "state": "relaxed",
  "lattice_angstrom": [[4.142, 0.000, 0.000], [0.000, 4.142, 0.000], [0.000, 0.000, 4.654]],
  "species": ["Pb", "Be", "Be", "Fe", "Pd"],
  "frac_coords": [[0.500, 0.500, 0.500], [0.000, 0.500, 0.000], [0.500, 0.000, 0.000], [0.000, 0.000, 0.000], [0.000, 0.000, 0.500]],
  "total_magnetization_mub_per_cell": 1.5,
  "e_form_ev_per_atom": 0.702
}

# 15
{
  "formula": "BaBe2Cr",
  "functional": "PBEsol",
  "state": "relaxed",
  "lattice_angstrom": [[-3.837, -0.737, -1.087], [-2.020, -3.096, 1.667], [-3.806, 2.190, 4.385]],
  "species": ["Cr", "Ba", "Be", "Be"],
  "frac_coords": [[0.500, 0.500, 0.500], [0.000, 0.000, 0.000], [0.179, 0.179, 0.463], [0.821, 0.821, 0.537]],
  "total_magnetization_mub_per_cell": 3.2,
  "e_form_ev_per_atom": 0.497
}

# 16
{
  "formula": "HgGeHPt2",
  "functional": "PBEsol",
  "state": "relaxed",
  "lattice_angstrom": [[3.972, 0.000, 0.000], [0.000, 3.972, 0.000], [0.000, 0.000, 4.506]],
  "species": ["H", "Ge", "Hg", "Pt", "Pt"],
  "frac_coords": [[0.000, 0.000, 0.000], [0.000, 0.000, 0.500], [0.500, 0.500, 0.500], [0.000, 0.500, 0.000], [0.500, 0.000, 0.000]],
  "total_energy_ev_per_atom": -4.422,
  "total_magnetization_mub_per_cell": 0.0
}

# 17
{
  "formula": "InHg2",
  "functional": "PBEsol",
  "state": "relaxed",
  "lattice_angstrom": [[-7.216, -1.305, 5.924], [-3.434, -8.666, 1.408], [1.400, -4.342, 8.250]],
  "species": ["Hg", "Hg", "Hg", "Hg", "Hg", "Hg", "Hg", "Hg", "Hg", "Hg", "Hg", "Hg", "Hg", "Hg", "Hg", "Hg", "In", "In", "In", "In", "In", "In", "In", "In"],
  "frac_coords": [[0.125, 0.125, 0.625], [0.125, 0.625, 0.125], [0.625, 0.125, 0.125], [0.125, 0.125, 0.125], [0.928, 0.572, 0.572], [0.572, 0.928, 0.572], [0.572, 0.572, 0.928], [0.928, 0.928, 0.572], [0.928, 0.572, 0.928], [0.572, 0.928, 0.928], [0.322, 0.678, 0.678], [0.678, 0.322, 0.678], [0.678, 0.678, 0.322], [0.322, 0.322, 0.678], [0.322, 0.678, 0.322], [0.678, 0.322, 0.322], [0.343, 0.343, 0.343], [0.970, 0.343, 0.343], [0.343, 0.970, 0.343], [0.343, 0.343, 0.970], [0.907, 0.907, 0.907], [0.280, 0.907, 0.907], [0.907, 0.280, 0.907], [0.907, 0.907, 0.280]],
  "total_magnetization_mub_per_cell": 0.0,
  "e_form_ev_per_atom": 0.007
}

# 18
{
  "formula": "BaLiTa2Tc",
  "functional": "PBEsol",
  "state": "relaxed",
  "lattice_angstrom": [[-1.658, 2.858, -3.000], [-3.073, 1.320, 2.955], [3.080, 3.506, 1.638]],
  "species": ["Tc", "Li", "Ba", "Ta", "Ta"],
  "frac_coords": [[0.500, 0.500, 0.500], [0.000, 0.000, 0.000], [0.000, 0.000, 0.500], [0.000, 0.500, 0.000], [0.500, 0.000, 0.000]],
  "total_magnetization_mub_per_cell": 0.7,
  "e_form_ev_per_atom": 1.947
}

# 19
{
  "formula": "LiPt3Cl",
  "functional": "PBEsol",
  "state": "relaxed",
  "lattice_angstrom": [[-3.457, 0.287, -2.503], [0.540, -4.066, -1.213], [-2.460, -1.296, 3.250]],
  "species": ["Li", "Pt", "Pt", "Pt", "Cl"],
  "frac_coords": [[0.000, 0.000, 0.000], [0.000, 0.500, 0.000], [0.000, 0.000, 0.500], [0.500, 0.000, 0.000], [0.500, 0.500, 0.500]],
  "formation_energy_uncorrected_ev_per_atom": 1.0233,
  "total_magnetization_mub_per_cell": 0.0
}

# 20
{
  "formula": "ZnFe2Si",
  "functional": "PBEsol",
  "state": "relaxed",
  "lattice_angstrom": [[-1.889, 2.932, -0.420], [-1.852, -0.780, 2.882], [4.323, 0.803, 0.854]],
  "species": ["Fe", "Fe", "Si", "Zn"],
  "frac_coords": [[0.000, 0.000, 0.000], [0.750, 0.250, 0.500], [0.500, 0.500, 0.000], [0.250, 0.750, 0.500]],
  "formation_energy_uncorrected_ev_per_atom": -0.1317,
  "total_magnetization_mub_per_cell": 4.0
}